DFT (PBE+U) results for crystalline Li2PmMnO4 at its relaxed geometry.

The density is 4.9 g/cm3. As for the space-group type: I-42m (121). The value obtained for the electronic total energy is -6.68 eV per atom.

Cell lengths 5.022, 5.022, 5.022 Å; angles 97.54, 115.75, 115.75 degrees
Atoms (fractional coordinates):
Pm (0.000, 0.000, 0.000)
Mn (0.000, 0.500, 0.500)
O (0.555, 0.420, 0.420)
O (0.445, 0.865, 0.865)
O (0.000, 0.580, 0.135)
O (0.000, 0.135, 0.580)
Li (0.500, 0.250, 0.750)
Li (0.500, 0.750, 0.250)